1.
Material: BaNiPb2
Method: DFT, GGA-PBE
State: relaxed

Calculated values
symmetry: No. 225
formation energy: 0.626 eV per formula unit
crystal system: cubic
final energy: -3.624 eV/atom

Cell lengths 5.4305, 5.4305, 5.4305 Å; angles 60.00, 60.00, 60.00 degrees
Fractional coordinates of all 4 atoms:
1 Ni 0.0000 0.0000 0.0000
2 Pb 0.2500 0.2500 0.2500
3 Pb 0.7500 0.7500 0.7500
4 Ba 0.5000 0.5000 0.5000


2.
Material: BaNiPb4
Method: DFT, GGA-PBE
State: relaxed

Calculated values
symmetry: No. 216
formation energy: 1.480 eV per formula unit
crystal system: cubic
final energy: -3.510 eV/atom

Cell lengths 6.5331, 6.5331, 6.5331 Å; angles 60.00, 60.00, 60.00 degrees
Each line ends with the local moment (μB).
Fractional coordinates of all 6 atoms:
1 Ba 0.7500 0.7500 0.7500  0.01
2 Pb 0.3746 0.3746 0.8763  0.01
3 Pb 0.3746 0.8763 0.3746  0.01
4 Pb 0.3746 0.3746 0.3746  0.01
5 Pb 0.8763 0.3746 0.3746  0.01
6 Ni 0.0000 0.0000 0.0000  0.69


3.
Material: BaNiPb2
Method: DFT, GGA-PBE
State: relaxed

Calculated values
symmetry: No. 119
formation energy: 0.497 eV per formula unit
crystal system: tetragonal
final energy: -3.656 eV/atom

Cell lengths 5.4547, 5.4547, 5.4547 Å; angles 119.88, 119.88, 90.20 degrees
Fractional coordinates of all 4 atoms:
1 Pb 0.2500 0.7500 0.5000
2 Pb 0.0000 0.0000 0.0000
3 Ni 0.7500 0.2500 0.5000
4 Ba 0.5000 0.5000 0.0000


4.
Material: BaReNi2Pb
Method: DFT, GGA-PBE
State: relaxed

Calculated values
symmetry: No. 123
formation energy: 2.921 eV per formula unit
crystal system: tetragonal
final energy: -5.344 eV/atom

Cell lengths 4.8339, 5.2327, 4.8339 Å; angles 90.00, 90.00, 90.00 degrees
Fractional coordinates of all 5 atoms:
1 Ba 0.5000 0.5000 0.5000
2 Pb 0.0000 0.5000 0.0000
3 Ni 0.5000 0.0000 0.0000
4 Ni 0.0000 0.0000 0.5000
5 Re 0.0000 0.0000 0.0000


5.
Material: BaNiSn2Pb
Method: DFT, GGA-PBE
State: relaxed

Calculated values
symmetry: No. 123
formation energy: -0.993 eV per formula unit
crystal system: tetragonal
final energy: -4.082 eV/atom

Cell lengths 5.1380, 5.4596, 5.1380 Å; angles 90.00, 90.00, 90.00 degrees
Fractional coordinates of all 5 atoms:
1 Sn 0.0000 0.0000 0.5000
2 Sn 0.5000 0.0000 0.0000
3 Ba 0.5000 0.5000 0.5000
4 Pb 0.0000 0.5000 0.0000
5 Ni 0.0000 0.0000 0.0000


6.
Material: Ba2TlNiPb
Method: DFT, GGA-PBE
State: relaxed

Calculated values
symmetry: No. 123
formation energy: -1.056 eV per formula unit
crystal system: tetragonal
final energy: -3.352 eV/atom

Cell lengths 5.9220, 5.9220, 5.0664 Å; angles 90.00, 90.00, 90.00 degrees
Fractional coordinates of all 5 atoms:
1 Tl 0.0000 0.0000 0.5000
2 Ba 0.5000 0.0000 0.0000
3 Ba 0.0000 0.5000 0.0000
4 Pb 0.5000 0.5000 0.5000
5 Ni 0.0000 0.0000 0.0000